No. 1
The following is a GGA-PBEsol calculation of a geometry-optimized TaWAu2 structure, from Alexandria.

POSCAR file:
```
TaWAu2
1.0
2.794 0.000 0.000
0.000 2.794 0.000
0.000 0.000 8.517
Au Ta W
2 1 1
Cartesian
0.000 0.000 8.445
1.397 1.397 2.173
0.000 0.000 4.239
1.397 1.397 6.437
```

Properties
N(E_F)   0.386 states/eV/atom
Total magnetic moment   0.0 μB per cell
E above lowest polymorph   4 meV/atom
ΔE_f   0.053 eV/atom

---

No. 2
The following is a GGA-PBEsol calculation of a geometry-optimized LiTaBr2 structure, from Alexandria.

POSCAR file:
```
LiTaBr2
1.0
-0.426 1.325 -2.864
2.360 -4.052 -2.228
-4.914 -1.674 -0.047
Li Br Ta
1 2 1
Cartesian
-1.277 -2.863 -1.137
-2.457 -0.837 -0.023
1.180 -2.026 -1.114
0.000 0.000 0.000
```

Properties
N(E_F)   0.568 states/eV/atom
Formation energy without anion corrections   -15.5 meV per atom
Total magnetic moment   0.0 μB per cell

---

No. 3
The following is a GGA-PBEsol calculation of a geometry-optimized InTePt2O structure, from Alexandria.

POSCAR file:
```
InTePt2O
1.0
3.919 0.000 0.000
0.000 5.012 0.000
0.000 0.000 5.012
Te In Pt O
1 1 2 1
Cartesian
0.000 0.000 0.000
1.960 2.506 2.506
0.000 2.506 0.000
0.000 0.000 2.506
1.960 0.000 0.000
```

Properties
N(E_F)   0.360 states/eV/atom
Formation energy without anion corrections   102.2 meV per atom
Total magnetic moment   0.0 μB per cell

---

No. 4
The following is a GGA-PBEsol calculation of a geometry-optimized MgAg3 structure, from Alexandria.

POSCAR file:
```
MgAg3
1.0
4.755 0.000 0.000
0.000 5.739 0.000
0.000 -2.869 4.970
Mg Ag
2 6
Cartesian
1.189 0.000 3.313
3.566 2.869 1.657
1.189 1.429 0.825
3.566 1.440 4.145
1.189 4.310 0.825
3.566 -1.440 4.145
3.566 0.000 1.650
1.189 2.869 3.320
```

Properties
N(E_F)   0.338 states/eV/atom
Total magnetic moment   0.0 μB per cell
E above lowest polymorph   7 meV/atom
ΔE_f   -0.169 eV/atom

---

No. 5
The following is a GGA-PBEsol calculation of a geometry-optimized CoRh structure, from Alexandria.

POSCAR file:
```
CoRh
1.0
3.590 0.000 0.000
0.000 3.619 0.000
-1.794 0.000 5.528
Co Rh
3 3
Cartesian
0.001 0.000 3.684
1.795 0.000 1.844
1.795 1.809 0.000
1.795 1.809 3.685
0.000 0.000 0.000
0.000 1.809 1.843
```

Properties
N(E_F)   1.691 states/eV/atom
Total magnetic moment   5.0 μB per cell
ΔE_f   0.080 eV/atom

---

No. 6
The following is a GGA-PBEsol calculation of a geometry-optimized SrSc2Ta structure, from Alexandria.

POSCAR file:
```
SrSc2Ta
1.0
3.168 0.000 0.000
0.000 5.914 0.000
-1.584 -2.957 5.499
Sc Ta Sr
2 1 1
Cartesian
1.584 2.957 3.145
0.000 0.000 2.354
1.584 0.000 0.000
0.000 2.957 0.000
```

Properties
N(E_F)   1.576 states/eV/atom
Total magnetic moment   0.0 μB per cell
E above lowest polymorph   0 meV/atom
ΔE_f   0.591 eV/atom

---

No. 7
The following is a GGA-PBEsol calculation of a geometry-optimized Fe2AsPt structure, from Alexandria.

POSCAR file:
```
Fe2AsPt
1.0
2.749 0.040 0.059
-0.064 4.569 0.013
-0.064 -1.738 4.225
Fe Pt As
2 1 1
Cartesian
-0.032 -0.869 2.113
-0.032 2.284 0.006
1.375 0.020 0.030
1.311 1.435 2.149
```

Properties
N(E_F)   1.050 states/eV/atom
Total magnetic moment   5.2 μB per cell
ΔE_f   0.020 eV/atom

---

No. 8
The following is a GGA-PBEsol calculation of a geometry-optimized Ba2NaGe2 structure, from Alexandria.

POSCAR file:
```
Ba2NaGe2
1.0
4.671 0.000 0.000
0.000 8.444 0.000
0.000 0.000 8.444
Ba Na Ge
4 2 4
Cartesian
2.335 2.683 1.539
2.335 5.761 6.905
2.335 6.905 2.683
2.335 1.539 5.761
0.000 0.000 0.000
0.000 4.222 4.222
0.000 7.577 5.089
0.000 0.867 3.355
0.000 3.355 7.577
0.000 5.089 0.867
```

Properties
N(E_F)   0.816 states/eV/atom
Total magnetic moment   0.9 μB per cell
ΔE_f   -0.403 eV/atom

---

| no. | VASP energy (eV/f.u.) |
| --- | --- |
| 1 | -33.993 |
| 2 | -18.320 |
| 3 | -25.174 |
| 4 | -12.328 |
| 5 | -15.715 |
| 6 | -25.237 |
| 7 | -29.917 |
| 8 | -17.591 |